# Tb6ErTm12 PBE relaxed
# Excess energy over the best structure of this formula in the dataset (meV/atom): 140
data_Tb6ErTm12
_chemical_formula_sum 'Tb18 Er3 Tm36'
_symmetry_space_group_name_H-M 'R -3 m'
_symmetry_Int_Tables_number 166
_symmetry_space_group_name_Hall '-R 3 2"'
_cell_length_a 15.0142
_cell_length_b 15.0142
_cell_length_c 9.2542
_cell_angle_alpha 90.00
_cell_angle_beta 90.00
_cell_angle_gamma 120.00
loop_
_atom_site_label
_atom_site_type_symbol
_atom_site_fract_x
_atom_site_fract_y
_atom_site_fract_z
_atom_site_occupancy
Tb1 Tb 0.0875 0.5438 0.1085 1
Er1 Er 0.0000 0.0000 0.5000 1
Tm1 Tm 0.0000 0.2908 0.0000 1
Tm2 Tm 0.0773 0.1546 0.8105 1

---

# NaCo3Cu PBE relaxed
# Excess energy over the best structure of this formula in the dataset (meV/atom): 0
data_NaCo3Cu
_chemical_formula_sum 'Na1 Co3 Cu1'
_symmetry_space_group_name_H-M 'P m -3 m'
_symmetry_Int_Tables_number 221
_symmetry_space_group_name_Hall '-P 4 2 3'
_cell_length_a 4.450
_cell_length_b 4.450
_cell_length_c 4.450
_cell_angle_alpha 90.00
_cell_angle_beta 90.00
_cell_angle_gamma 90.00
loop_
_atom_site_label
_atom_site_type_symbol
_atom_site_fract_x
_atom_site_fract_y
_atom_site_fract_z
_atom_site_occupancy
Na1 Na 0.000 0.000 0.000 1
Co1 Co 0.000 0.500 0.500 1
Cu1 Cu 0.500 0.500 0.500 1

---

# DyGa2Ni5Au PBE relaxed
# DFT total energy (eV per atom): -4.892
data_DyGa2Ni5Au
_chemical_formula_sum 'Dy1 Ga2 Ni5 Au1'
_symmetry_space_group_name_H-M 'P 4/m m m'
_symmetry_Int_Tables_number 123
_symmetry_space_group_name_Hall '-P 4 2'
_cell_length_a 3.781
_cell_length_b 3.781
_cell_length_c 9.292
_cell_angle_alpha 90.00
_cell_angle_beta 90.00
_cell_angle_gamma 90.00
loop_
_atom_site_label
_atom_site_type_symbol
_atom_site_fract_x
_atom_site_fract_y
_atom_site_fract_z
_atom_site_occupancy
Dy1 Dy 0.000 0.000 0.000 1
Ga1 Ga 0.500 0.500 0.367 1
Ni1 Ni 0.000 0.500 0.215 1
Ni2 Ni 0.500 0.500 0.000 1
Au1 Au 0.000 0.000 0.500 1

---

# MgZn2P PBE relaxed
# DFT total energy (eV per atom): -2.363
data_MgZn2P
_chemical_formula_sum 'Mg3 Zn6 P3'
_symmetry_space_group_name_H-M 'R -3 m'
_symmetry_Int_Tables_number 166
_symmetry_space_group_name_Hall '-R 3 2"'
_cell_length_a 3.7908
_cell_length_b 3.7908
_cell_length_c 18.4181
_cell_angle_alpha 90.00
_cell_angle_beta 90.00
_cell_angle_gamma 120.00
loop_
_atom_site_label
_atom_site_type_symbol
_atom_site_fract_x
_atom_site_fract_y
_atom_site_fract_z
_atom_site_occupancy
Mg1 Mg 0.0000 0.0000 0.0000 1
Zn1 Zn 0.0000 0.0000 0.2287 1
P1 P 0.0000 0.0000 0.5000 1

---

# CaSc2I PBE relaxed
# Energy relative to the elements, uncorrected (meV/atom): 76
# Excess energy over the best structure of this formula in the dataset (meV/atom): 16
data_CaSc2I
_chemical_formula_sum 'Ca3 Sc6 I3'
_symmetry_space_group_name_H-M 'R -3 m'
_symmetry_Int_Tables_number 166
_symmetry_space_group_name_Hall '-R 3 2"'
_cell_length_a 3.6961
_cell_length_b 3.6961
_cell_length_c 33.6978
_cell_angle_alpha 90.00
_cell_angle_beta 90.00
_cell_angle_gamma 120.00
loop_
_atom_site_label
_atom_site_type_symbol
_atom_site_fract_x
_atom_site_fract_y
_atom_site_fract_z
_atom_site_occupancy
Ca1 Ca 0.0000 0.0000 0.0000 1
Sc1 Sc 0.0000 0.0000 0.4176 1
I1 I 0.0000 0.0000 0.5000 1

---

# TmZrBeAl PBE relaxed
# DFT total energy (eV per atom): -5.259
data_TmZrBeAl
_chemical_formula_sum 'Tm4 Zr4 Be4 Al4'
_symmetry_space_group_name_H-M 'F -4 3 m'
_symmetry_Int_Tables_number 216
_symmetry_space_group_name_Hall 'F -4 2 3'
_cell_length_a 6.735
_cell_length_b 6.735
_cell_length_c 6.735
_cell_angle_alpha 90.00
_cell_angle_beta 90.00
_cell_angle_gamma 90.00
loop_
_atom_site_label
_atom_site_type_symbol
_atom_site_fract_x
_atom_site_fract_y
_atom_site_fract_z
_atom_site_occupancy
Tm1 Tm 0.000 0.000 0.000 1
Zr1 Zr 0.000 0.000 0.500 1
Be1 Be 0.250 0.250 0.750 1
Al1 Al 0.250 0.250 0.250 1

---

# Pr2ZnPd PBE relaxed
# Excess energy over the best structure of this formula in the dataset (meV/atom): 46
data_Pr2ZnPd
_chemical_formula_sum 'Pr8 Zn4 Pd4'
_symmetry_space_group_name_H-M 'F m -3 m'
_symmetry_Int_Tables_number 225
_symmetry_space_group_name_Hall '-F 4 2 3'
_cell_length_a 7.370
_cell_length_b 7.370
_cell_length_c 7.370
_cell_angle_alpha 90.00
_cell_angle_beta 90.00
_cell_angle_gamma 90.00
loop_
_atom_site_label
_atom_site_type_symbol
_atom_site_fract_x
_atom_site_fract_y
_atom_site_fract_z
_atom_site_occupancy
Pr1 Pr 0.250 0.250 0.250 1
Zn1 Zn 0.000 0.000 0.000 1
Pd1 Pd 0.000 0.000 0.500 1

---

# BeTe2AuI PBE relaxed
# Energy relative to the elements, uncorrected (meV/atom): 948
# Excess energy over the best structure of this formula in the dataset (meV/atom): 377
data_BeTe2AuI
_chemical_formula_sum 'Be1 Te2 Au1 I1'
_symmetry_space_group_name_H-M 'P 4/m m m'
_symmetry_Int_Tables_number 123
_symmetry_space_group_name_Hall '-P 4 2'
_cell_length_a 5.500
_cell_length_b 5.500
_cell_length_c 5.545
_cell_angle_alpha 90.00
_cell_angle_beta 90.00
_cell_angle_gamma 90.00
loop_
_atom_site_label
_atom_site_type_symbol
_atom_site_fract_x
_atom_site_fract_y
_atom_site_fract_z
_atom_site_occupancy
Be1 Be 0.000 0.000 0.000 1
Te1 Te 0.000 0.500 0.500 1
Au1 Au 0.500 0.500 0.500 1
I1 I 0.500 0.500 0.000 1